Density functional theory data (PBE) for HgGeTe2 after structural relaxation.

abc: 8.765 6.733 12.031
angles: 90.00 132.27 90.00
Sites, in units of the cell vectors:
Hg 0.134 0.072 0.278
Hg 0.134 0.428 0.778
Hg 0.866 0.572 0.222
Hg 0.866 0.928 0.722
Ge 0.462 0.669 0.353
Ge 0.462 0.831 0.853
Ge 0.538 0.169 0.147
Ge 0.538 0.331 0.647
Te 0.041 0.725 0.113
Te 0.041 0.775 0.613
Te 0.492 0.743 0.611
Te 0.492 0.757 0.111
Te 0.508 0.243 0.889
Te 0.508 0.257 0.389
Te 0.959 0.225 0.387
Te 0.959 0.275 0.887

symmetry	P2_1/c, No. 14
E_form (uncorrected)	-0.05	eV per atom

***

Density functional theory data (PBE) for HgGeTe2 after structural relaxation.

abc: 8.870 8.870 8.870
angles: 29.25 29.25 29.25
Sites, in units of the cell vectors:
Hg 0.000 0.000 0.000
Ge 0.500 0.500 0.500
Te 0.399 0.399 0.399
Te 0.601 0.601 0.601

symmetry	R-3m, No. 166
E_form (uncorrected)	0.39	eV per atom

***

Density functional theory data (PBE) for HgGe2Te2 after structural relaxation.

abc: 8.113 8.113 3.981
angles: 90.00 90.00 90.00
Sites, in units of the cell vectors:
Hg 0.000 0.000 0.000
Hg 0.500 0.500 0.000
Ge 0.141 0.359 0.000
Ge 0.359 0.859 0.000
Ge 0.641 0.141 0.000
Ge 0.859 0.641 0.000
Te 0.158 0.658 0.500
Te 0.342 0.158 0.500
Te 0.658 0.842 0.500
Te 0.842 0.342 0.500

symmetry	P4/mbm, No. 127
E_form (uncorrected)	0.12	eV per atom

***

Among the records above, which one has the lowest E_form (uncorrected)?
number 1